1.
## BeSb2Os (meta-GGA SCAN)

Data for BeSb2Os at its PBEsol-relaxed geometry.

## Properties
raw formation energy = 0.736 eV per atom

a = 3.242 Å, b = 4.691 Å, c = 4.691 Å
α = 103.61°, β = 90.00°, γ = 90.00°
Sites, in units of the cell vectors:
Sb 0.000 0.000 0.500
Sb 0.000 0.500 0.000
Os 0.500 0.000 0.000
Be 0.500 0.500 0.500

2.
## BeSb3Os (meta-GGA SCAN)

Data for BeSb3Os at its PBEsol-relaxed geometry.

## Properties
raw formation energy = 1.323 eV per atom

a = 4.659 Å, b = 4.659 Å, c = 4.659 Å
α = 90.00°, β = 90.00°, γ = 90.00°
Sites, in units of the cell vectors:
Sb 0.000 0.500 0.000
Sb 0.000 0.000 0.500
Sb 0.500 0.000 0.000
Os 0.500 0.500 0.500
Be 0.000 0.000 0.000

3.
## Sc4BeOs (meta-GGA SCAN)

Data for Sc4BeOs at its PBEsol-relaxed geometry.

## Properties
ΔE_f = 671.5 meV/atom

a = 5.343 Å, b = 5.343 Å, c = 5.343 Å
α = 60.00°, β = 60.00°, γ = 60.00°
Each line ends with the local moment (μB).
Sites, in units of the cell vectors:
Be 0.750 0.750 0.750  0.01
Os 0.000 0.000 0.000  -0.33
Sc 0.373 0.373 0.373  -0.23
Sc 0.373 0.373 0.881  -0.23
Sc 0.881 0.373 0.373  -0.23
Sc 0.373 0.881 0.373  -0.23

4.
## ScBe2Os (meta-GGA SCAN)

Data for ScBe2Os at its PBEsol-relaxed geometry.

## Properties
ΔE_f = -334.0 meV/atom

a = 3.151 Å, b = 3.336 Å, c = 4.902 Å
α = 90.00°, β = 108.75°, γ = 90.00°
Sites, in units of the cell vectors:
Sc 0.414 0.500 0.827
Be 0.801 0.000 0.602
Be 0.678 0.500 0.355
Os 0.107 0.000 0.214

5.
## ScBe2Os2 (meta-GGA SCAN)

Data for ScBe2Os2 at its PBEsol-relaxed geometry.

## Properties
ΔE_f = -450.2 meV/atom

a = 3.070 Å, b = 6.290 Å, c = 6.290 Å
α = 90.00°, β = 90.00°, γ = 90.00°
Sites, in units of the cell vectors:
Sc 0.000 0.000 0.000
Sc 0.000 0.500 0.500
Be 0.000 0.382 0.882
Be 0.000 0.882 0.618
Be 0.000 0.618 0.118
Be 0.000 0.118 0.382
Os 0.500 0.168 0.668
Os 0.500 0.668 0.832
Os 0.500 0.832 0.332
Os 0.500 0.332 0.168

6.
## Sc3BeOs (meta-GGA SCAN)

Data for Sc3BeOs at its PBEsol-relaxed geometry.

## Properties
ΔE_f = 288.3 meV/atom

a = 4.935 Å, b = 4.935 Å, c = 4.935 Å
α = 90.00°, β = 90.00°, γ = 90.00°
Sites, in units of the cell vectors:
Sc 0.000 0.500 0.000
Sc 0.000 0.000 0.500
Sc 0.500 0.000 0.000
Be 0.500 0.500 0.500
Os 0.000 0.000 0.000

7.
## Be2OsSe (meta-GGA SCAN)

Data for Be2OsSe at its PBEsol-relaxed geometry.

## Properties
raw formation energy = 0.477 eV per atom

a = 2.930 Å, b = 4.384 Å, c = 4.723 Å
α = 117.70°, β = 108.14°, γ = 89.87°
Sites, in units of the cell vectors:
Be 0.500 0.500 0.500
Be 0.000 0.000 0.500
Os 0.000 0.500 0.000
Se 0.500 0.000 0.000

8.
## Be2OsSe (meta-GGA SCAN)

Data for Be2OsSe at its PBEsol-relaxed geometry.

## Properties
raw formation energy = 0.335 eV per atom

a = 3.087 Å, b = 4.019 Å, c = 4.579 Å
α = 116.04°, β = 109.70°, γ = 90.00°
Sites, in units of the cell vectors:
Be 0.009 0.009 0.019
Be 0.735 0.235 0.471
Os 0.486 0.486 0.973
Se 0.269 0.769 0.538

Number 1: total energy -147.81 eV per cell. Number 2: total energy -181.40 eV per cell. Number 3: total energy -129.15 eV per cell. Number 4: total energy -96.16 eV per cell. Number 5: total energy -337.91 eV per cell. Number 6: total energy -117.50 eV per cell. Number 7: total energy -98.76 eV per cell. Number 8: total energy -99.32 eV per cell.